1.
VASP calculation (PBE-GGA) on crystalline LiGe4Pt4 at its relaxed geometry.

Calculated values
Size of the total moment in μB per cell: 0.00
Energy of formation in eV/atom: -0.446

Unit cell a=4.843 b=8.574 c=8.574 alpha=90.00 beta=90.00 gamma=90.00
Sites, in units of the cell vectors:
Pt (0.500, 0.181, 0.670)
Li (0.500, 0.500, 0.500)
Ge (0.500, 0.116, 0.380)
Ge (0.000, 0.120, 0.616)
Ge (0.500, 0.620, 0.116)
Pt (0.500, 0.330, 0.181)
Ge (0.000, 0.880, 0.384)
Pt (0.000, 0.830, 0.681)
Ge (0.500, 0.884, 0.620)
Pt (0.000, 0.319, 0.830)
Ge (0.500, 0.380, 0.884)
Ge (0.000, 0.616, 0.880)
Li (0.000, 0.000, 0.000)
Pt (0.500, 0.819, 0.330)
Pt (0.500, 0.670, 0.819)
Pt (0.000, 0.681, 0.170)
Ge (0.000, 0.384, 0.120)
Pt (0.000, 0.170, 0.319)

---

2.
VASP calculation (PBE-GGA) on crystalline NaMgScPb at its relaxed geometry.

Calculated values
Size of the total moment in μB per cell: 0.00
Energy of formation in eV/atom: -0.088

Unit cell a=5.203 b=5.203 c=5.203 alpha=60.00 beta=60.00 gamma=60.00
Sites, in units of the cell vectors:
Pb (0.000, 0.000, 0.000)
Mg (0.500, 0.500, 0.500)
Sc (0.750, 0.750, 0.750)
Na (0.250, 0.250, 0.250)

---

3.
VASP calculation (PBE-GGA) on crystalline Na3Pu3AuSe8 at its relaxed geometry.

Calculated values
Size of the total moment in μB per cell: 13.15
E_form (uncorrected) in eV/f.u.: -16.3

Unit cell a=8.287 b=8.150 c=8.416 alpha=118.54 beta=90.00 gamma=120.56
Sites, in units of the cell vectors:
Se (0.269, 0.018, 0.268)
Au (0.000, 0.000, 0.500)
Se (0.745, 0.490, 0.732)
Se (0.251, 0.982, 0.732)
Pu (0.000, 0.500, 0.500)
Pu (0.500, 0.500, 0.500)
Pu (0.500, 0.000, 0.500)
Se (0.731, 0.982, 0.732)
Na (0.000, 0.500, 0.000)
Se (0.776, 0.552, 0.287)
Se (0.255, 0.510, 0.268)
Se (0.749, 0.018, 0.268)
Se (0.224, 0.448, 0.713)
Na (0.500, 0.500, 0.000)
Na (0.000, 0.000, 0.000)

---

4.
VASP calculation (PBE-GGA) on crystalline FeSCl2 at its relaxed geometry.

Calculated values
Size of the total moment in μB per cell: 4.06
E_form (uncorrected) in eV/f.u.: 0.9
Offset from the most stable computed form in meV/atom: 0

Unit cell a=6.853 b=6.853 c=6.845 alpha=59.96 beta=59.96 gamma=90.00
Sites, in units of the cell vectors:
S (0.250, 0.750, 0.500)
Fe (0.750, 0.250, 0.500)
Fe (0.000, 0.000, 0.000)
Cl (0.875, 0.990, 0.750)
S (0.500, 0.500, 0.000)
Cl (0.010, 0.625, 0.250)
Cl (0.740, 0.125, 0.250)
Cl (0.375, 0.260, 0.750)

---

5.
VASP calculation (PBE-GGA) on crystalline TaGeAu3 at its relaxed geometry.

Calculated values
Size of the total moment in μB per cell: 1.67
Energy of formation in eV/atom: 0.978
Offset from the most stable computed form in meV/atom: 0

Unit cell a=4.777 b=4.777 c=4.777 alpha=90.00 beta=90.00 gamma=90.00
Sites, in units of the cell vectors:
Ta (0.500, 0.500, 0.500)
Au (0.500, 0.000, 0.000)
Au (0.000, 0.500, 0.000)
Ge (0.000, 0.000, 0.000)
Au (0.000, 0.000, 0.500)

---

6.
VASP calculation (PBE-GGA) on crystalline Ac2Al3Pd2 at its relaxed geometry.

Calculated values
Size of the total moment in μB per cell: 0.00
Energy of formation in eV/atom: -0.691

Unit cell a=4.296 b=6.163 c=7.587 alpha=118.36 beta=90.00 gamma=110.40
Sites, in units of the cell vectors:
Ac (0.865, 0.730, 0.231)
Pd (0.135, 0.270, 0.213)
Al (0.500, 0.000, 0.000)
Ac (0.135, 0.270, 0.769)
Al (0.651, 0.303, 0.429)
Al (0.349, 0.697, 0.571)
Pd (0.865, 0.730, 0.787)